VASP calculation (GGA-PBE) on crystalline ZnCd2Pt at its relaxed geometry.

Geometry as CIF:
```
data_ZnCd2Pt
_chemical_formula_sum 'Zn3 Cd6 Pt3'
_symmetry_space_group_name_H-M 'R -3 m'
_symmetry_Int_Tables_number 166
_symmetry_space_group_name_Hall '-R 3 2"'
_cell_length_a 2.9915
_cell_length_b 2.9915
_cell_length_c 28.4160
_cell_angle_alpha 90.00
_cell_angle_beta 90.00
_cell_angle_gamma 120.00
loop_
_atom_site_label
_atom_site_type_symbol
_atom_site_fract_x
_atom_site_fract_y
_atom_site_fract_z
Zn1 Zn 0.0000 0.0000 0.0000
Cd1 Cd 0.0000 0.0000 0.2476
Pt1 Pt 0.0000 0.0000 0.5000
```

VASP calculation (GGA-PBE) on crystalline ZnCdPt2 at its relaxed geometry.

Geometry as CIF:
```
data_ZnCdPt2
_chemical_formula_sum 'Zn1 Cd1 Pt2'
_symmetry_space_group_name_H-M 'P 1 2/m 1'
_symmetry_Int_Tables_number 10
_cell_length_a 4.735
_cell_length_b 2.922
_cell_length_c 5.059
_cell_angle_alpha 90.00
_cell_angle_beta 110.58
_cell_angle_gamma 90.00
loop_
_symmetry_equiv_pos_as_xyz
'x,y,z'
'-x,-y,-z'
'-x,y,-z'
'x,-y,z'
loop_
_atom_site_label
_atom_site_type_symbol
_atom_site_fract_x
_atom_site_fract_y
_atom_site_fract_z
Zn1 Zn 0.000 0.000 0.000
Cd1 Cd 0.000 0.500 0.500
Pt1 Pt 0.500 0.000 0.500
Pt2 Pt 0.500 0.500 0.000
```

VASP calculation (GGA-PBE) on crystalline ZnCdPt2 at its relaxed geometry.

Geometry as CIF:
```
data_ZnCdPt2
_chemical_formula_sum 'Zn4 Cd4 Pt8'
_symmetry_space_group_name_H-M 'I -4 2 d'
_symmetry_Int_Tables_number 122
_symmetry_space_group_name_Hall 'I -4 2bw'
_cell_length_a 3.973
_cell_length_b 3.973
_cell_length_c 18.287
_cell_angle_alpha 90.00
_cell_angle_beta 90.00
_cell_angle_gamma 90.00
loop_
_atom_site_label
_atom_site_type_symbol
_atom_site_fract_x
_atom_site_fract_y
_atom_site_fract_z
Zn1 Zn 0.000 0.000 0.000
Cd1 Cd 0.000 0.000 0.500
Pt1 Pt 0.230 0.250 0.125
```

| no. | calculated total energy (eV/atom) | formation energy from the elements (eV per atom) | density of states at the Fermi level (states/eV/atom) |
| --- | --- | --- | --- |
| 1 | -2.3098 | -0.0235 | 0.4887 |
| 2 | -3.8214 | -0.2537 | 0.6698 |
| 3 | -3.6200 | -0.0523 | 0.4083 |